The following is a DFT calculation (GGA-PBEsol) of a relaxed structure of Re5Ir.

abc: 4.384 4.781 4.781
angles: 120.00 90.00 90.00
Fractional coordinates of all 6 atoms:
Ir1 0.500 0.000 0.000
Re1 0.000 0.667 0.000
Re2 0.000 0.000 0.667
Re3 0.000 0.333 0.333
Re4 0.500 0.333 0.667
Re5 0.500 0.667 0.333

Properties
ΔE_f: -0.13 eV per atom
relative energy among the computed polymorphs: 0 meV/atom
crystal system: hexagonal
SG: No. 189
density of states at the Fermi level: 3.84 states/eV/cell